Computed, not measured: crystalline K2Ir2Ru at its relaxed geometry at the GGA-PBE level of DFT.

Cell lengths 3.5950, 3.5950, 15.6179 Å; angles 90.00, 90.00, 90.00 degrees
With the nearest neighbours (Å) after each atom.
Space group I4/mmm (No. 139)
Asymmetric unit:
K 0.0000 0.5000 0.2500 [4 per cell]  4 K 2.54
Ir 0.0000 0.0000 0.0808 [4 per cell]  1 Ir 2.52
Ru 0.0000 0.0000 0.5000 [2 per cell]  8 Ir 2.84

As for the formation energy: 1.62 eV per atom.

Computed, not measured: crystalline KIr2Ru at its relaxed geometry at the GGA-PBE level of DFT.

Cell lengths 4.1509, 4.1509, 7.8083 Å; angles 90.00, 90.00, 90.00 degrees
With the nearest neighbours (Å) after each atom.
Space group I4/mmm (No. 139)
Asymmetric unit:
K 0.0000 0.0000 0.0000 [2 per cell]  8 Ir 2.85, 4 Ru 2.94
Ir 0.0000 0.5000 0.2500 [4 per cell]  4 K 2.85, 4 Ru 2.85, 4 Ir 2.94
Ru 0.0000 0.0000 0.5000 [2 per cell]  8 Ir 2.85, 4 K 2.94

As for the formation energy: 1.28 eV per atom.

Computed, not measured: crystalline K2IrRu at its relaxed geometry at the GGA-PBE level of DFT.

Cell lengths 3.8548, 3.8649, 11.0242 Å; angles 90.00, 90.00, 90.00 degrees
With the nearest neighbours (Å) after each atom.
Space group Cmmm (No. 65)
Asymmetric unit:
K 0.0000 0.0000 0.2447 [4 per cell]  4 K 2.73
Ir 0.0000 0.5000 0.0000 [2 per cell]  4 Ir 2.73
Ru 0.0000 0.5000 0.5000 [2 per cell]  4 Ru 2.73

As for the formation energy: 1.09 eV per atom.

Computed, not measured: crystalline KIr2Ru at its relaxed geometry at the GGA-PBE level of DFT.

Cell lengths 5.1833, 2.6694, 5.1938 Å; angles 90.00, 112.15, 90.00 degrees
With the nearest neighbours (Å) after each atom.
Space group P2/m (No. 10)
Asymmetric unit:
K 0.0000 0.0000 0.0000 [1 per cell]  2 K 2.67, 2 Ru 2.90, 8 Ir 2.92
Ir 0.0000 0.5000 0.5000 [1 per cell]  4 Ir 2.67-2.90, 4 Ru 2.92, 4 K 2.92
Ir 0.5000 0.5000 0.0000 [1 per cell]  4 Ir 2.67-2.90, 4 K 2.92, 4 Ru 2.92
Ru 0.5000 0.0000 0.5000 [1 per cell]  2 Ru 2.67, 2 K 2.90, 8 Ir 2.92

As for the formation energy: 1.03 eV per atom.

no.,DOS at the Fermi energy (states/eV per cell),total moment (μB per cell),offset from the most stable computed form (eV/f.u.)
1,13.7,4.7,5.020
2,11.2,2.1,3.247
3,8.4,0.8,2.382
4,6.4,0.6,2.250